1.
Entry from the Alexandria database: a geometry-optimized InCu structure (GGA-PBE).

abc: 4.242 4.242 4.242
angles: 60.00 60.00 60.00
Sites, in units of the cell vectors:
1 In 0.750 0.750 0.750
2 Cu 0.000 0.000 0.000

## Properties
- DOS(E_F) (states/eV per cell) = 1.34
- calculated volume (Å³/atom) = 27.00
- space-group type = F-43m, No. 216
- E_form (meV/atom) = 532

=====

2.
Entry from the Alexandria database: a geometry-optimized In3Cu structure (GGA-PBE).

abc: 3.605 5.894 5.599
angles: 121.76 108.78 90.00
Sites, in units of the cell vectors:
1 Cu 0.000 0.066 0.000
2 In 0.500 0.406 0.000
3 In 0.306 0.653 0.611
4 In 0.694 0.042 0.389

## Properties
- DOS(E_F) (states/eV per cell) = 1.33
- calculated volume (Å³/atom) = 23.40
- space-group type = Imm2, No. 44
- E_form (meV/atom) = 94

=====

3.
Entry from the Alexandria database: a geometry-optimized In7Cu10 structure (GGA-PBE).

abc: 9.241 9.241 6.748
angles: 89.27 89.27 81.27
Sites, in units of the cell vectors:
1 Cu 0.294 0.517 0.941
2 Cu 0.002 0.784 0.844
3 Cu 0.951 0.951 0.166
4 Cu 0.890 0.110 0.500
5 Cu 0.408 0.183 0.274
6 Cu 0.110 0.890 0.500
7 Cu 0.049 0.049 0.834
8 Cu 0.216 0.998 0.156
9 Cu 0.517 0.294 0.941
10 Cu 0.998 0.216 0.156
11 Cu 0.000 0.500 0.000
12 Cu 0.649 0.649 0.393
13 Cu 0.817 0.592 0.726
14 Cu 0.183 0.408 0.274
15 Cu 0.784 0.002 0.844
16 Cu 0.351 0.351 0.607
17 Cu 0.483 0.706 0.059
18 Cu 0.592 0.817 0.726
19 Cu 0.706 0.483 0.059
20 Cu 0.500 0.000 0.000
21 In 0.833 0.833 0.498
22 In 0.880 0.432 0.385
23 In 0.237 0.237 0.933
24 In 0.705 0.155 0.197
25 In 0.120 0.568 0.615
26 In 0.155 0.705 0.197
27 In 0.432 0.880 0.385
28 In 0.845 0.295 0.803
29 In 0.465 0.465 0.283
30 In 0.763 0.763 0.067
31 In 0.535 0.535 0.717
32 In 0.295 0.845 0.803
33 In 0.167 0.167 0.502
34 In 0.568 0.120 0.615

## Properties
- DOS(E_F) (states/eV per cell) = 8.12
- calculated volume (Å³/atom) = 16.75
- space-group type = C2/m, No. 12
- E_form (meV/atom) = -7

=====

What are the M_tot values for these records? In order: 0.00; 0.00; 0.00 μB/f.u..